The following is a DFT calculation (PBE-GGA) of a relaxed La2Be2Pt crystal.

abc: 6.579 6.579 4.543
angles: 90.00 90.00 90.00
Sites, in units of the cell vectors:
La  0.171  0.329  0.000
La  0.329  0.829  0.000
La  0.671  0.171  0.000
La  0.829  0.671  0.000
Be  0.130  0.630  0.500
Be  0.370  0.130  0.500
Be  0.630  0.870  0.500
Be  0.870  0.370  0.500
Pt  0.000  0.000  0.500
Pt  0.500  0.500  0.500

## Properties
Space group = No. 127
DFT formation energy = -0.26 eV per atom
Crystal system = tetragonal

The following is a DFT calculation (PBE-GGA) of a relaxed LaBePt3 crystal.

abc: 7.046 7.046 7.046
angles: 52.86 52.86 52.86
Sites, in units of the cell vectors:
La  0.138  0.138  0.138
La  0.862  0.862  0.862
Be  0.387  0.387  0.387
Be  0.613  0.613  0.613
Pt  0.040  0.561  0.261
Pt  0.261  0.040  0.561
Pt  0.439  0.739  0.960
Pt  0.561  0.261  0.040
Pt  0.739  0.960  0.439
Pt  0.960  0.439  0.739

## Properties
Space group = No. 148
DFT formation energy = -0.44 eV per atom
Crystal system = trigonal
Relative energy among the computed polymorphs = 49.0 kJ per mole of atoms

The following is a DFT calculation (PBE-GGA) of a relaxed LaBePt3 crystal.

abc: 4.105 4.105 5.289
angles: 90.00 90.00 90.00
Sites, in units of the cell vectors:
La  0.000  0.000  0.000
Be  0.500  0.500  0.270
Pt  0.000  0.500  0.479
Pt  0.500  0.000  0.479
Pt  0.500  0.500  0.847

## Properties
Space group = No. 99
DFT formation energy = -0.94 eV per atom
Crystal system = tetragonal
Relative energy among the computed polymorphs = 0.6 kJ per mole of atoms

The following is a DFT calculation (PBE-GGA) of a relaxed LaBePt crystal.

abc: 4.127 4.127 4.167
angles: 90.00 90.00 120.00
Sites, in units of the cell vectors:
La  0.000  0.000  0.000
Be  0.333  0.667  0.500
Pt  0.667  0.333  0.500

## Properties
Space group = No. 187
DFT formation energy = -0.77 eV per atom
Crystal system = hexagonal
Relative energy among the computed polymorphs = 0.4 kJ per mole of atoms

The following is a DFT calculation (PBE-GGA) of a relaxed LaBe2Pt2 crystal.

abc: 5.802 5.802 6.554
angles: 101.85 101.85 122.34
Sites, in units of the cell vectors:
La  0.125  0.875  0.750
La  0.875  0.125  0.250
Be  0.268  0.518  0.036
Be  0.482  0.732  0.464
Be  0.518  0.268  0.536
Be  0.732  0.482  0.964
Pt  0.185  0.815  0.250
Pt  0.435  0.565  0.750
Pt  0.565  0.435  0.250
Pt  0.815  0.185  0.750

## Properties
Space group = No. 15
DFT formation energy = -0.83 eV per atom
Crystal system = monoclinic
Relative energy among the computed polymorphs = 0.0 kJ per mole of atoms

The following is a DFT calculation (PBE-GGA) of a relaxed LaBePt3 crystal.

abc: 8.272 8.272 8.272
angles: 60.00 60.00 60.00
Sites, in units of the cell vectors:
La  0.000  0.000  0.000
La  0.000  0.000  0.500
La  0.000  0.500  0.000
La  0.500  0.000  0.000
Be  0.000  0.500  0.500
Be  0.500  0.000  0.500
Be  0.500  0.500  0.000
Be  0.500  0.500  0.500
Pt  0.175  0.175  0.575
Pt  0.175  0.575  0.175
Pt  0.175  0.575  0.575
Pt  0.425  0.425  0.825
Pt  0.425  0.825  0.425
Pt  0.425  0.825  0.825
Pt  0.575  0.175  0.175
Pt  0.575  0.175  0.575
Pt  0.575  0.575  0.175
Pt  0.825  0.425  0.425
Pt  0.825  0.425  0.825
Pt  0.825  0.825  0.425

## Properties
Space group = No. 227
DFT formation energy = -0.54 eV per atom
Crystal system = cubic
Relative energy among the computed polymorphs = 39.2 kJ per mole of atoms

The following is a DFT calculation (PBE-GGA) of a relaxed LaBePt crystal.

abc: 6.215 6.215 5.749
angles: 110.13 110.13 35.56
Sites, in units of the cell vectors:
La  0.100  0.100  0.297
La  0.900  0.900  0.703
Be  0.221  0.221  0.893
Be  0.779  0.779  0.107
Pt  0.386  0.386  0.264
Pt  0.614  0.614  0.736

## Properties
Space group = No. 12
DFT formation energy = -0.77 eV per atom
Crystal system = monoclinic
Relative energy among the computed polymorphs = 0.0 kJ per mole of atoms

The following is a DFT calculation (PBE-GGA) of a relaxed LaBePt3 crystal.

abc: 5.190 4.162 8.253
angles: 90.00 95.19 90.00
Sites, in units of the cell vectors:
La  0.028  0.250  0.323
La  0.972  0.750  0.677
Be  0.303  0.250  0.888
Be  0.697  0.750  0.112
Pt  0.145  0.750  0.072
Pt  0.461  0.250  0.615
Pt  0.490  0.250  0.156
Pt  0.510  0.750  0.844
Pt  0.539  0.750  0.385
Pt  0.855  0.250  0.928

## Properties
Space group = No. 11
DFT formation energy = -0.81 eV per atom
Crystal system = monoclinic
Relative energy among the computed polymorphs = 13.7 kJ per mole of atoms

Question: What is the DFT formation energy in the fourth record?
Answer: -0.77 eV per atom